Computed, not measured: crystalline K2Ca2Sb at its relaxed geometry at the PBE level of DFT.

Properties
DOS(E_F)   8.43 states/eV per cell
Size of the total moment   0.000 μB per formula unit
Space-group type   No. 127
Energy   -0.1691 Ry per atom

Cell: 8.3029 8.3029 6.8855 Å, 90.00 90.00 90.00°
Positions (direct):
K 0.1760 0.3240 0.0000
K 0.3240 0.8240 0.0000
K 0.6760 0.1760 0.0000
K 0.8240 0.6760 0.0000
Ca 0.1639 0.6639 0.5000
Ca 0.3361 0.1639 0.5000
Ca 0.6639 0.8361 0.5000
Ca 0.8361 0.3361 0.5000
Sb 0.0000 0.0000 0.5000
Sb 0.5000 0.5000 0.5000